## BeCd3C (meta-GGA SCAN)

Data for a crystal of BeCd3C relaxed with PBEsol.

a b c (Å): 4.516 4.516 4.516
angles (deg): 90.00 90.00 90.00
Fractional coordinates of all 5 atoms:
Cd 0.000 0.500 0.000
Cd 0.000 0.000 0.500
Cd 0.500 0.000 0.000
C 0.000 0.000 0.000
Be 0.500 0.500 0.500

Properties
* E_form: 1137 meV per atom
* uncorrected energy: -20.0022 eV per atom